(1)
The following is a DFT calculation (PBE-GGA) of a relaxed structure of Y2As.

E_form = -0.6894 eV/atom
DOS at the Fermi energy = 7.24 states/eV per cell
crystal system = hexagonal
total DFT energy (no corrections) = -6.55 eV per atom

The structure in CIF format:
```
data_Y2As
_chemical_formula_sum 'Y4 As2'
_cell_length_a 5.1505
_cell_length_b 5.1505
_cell_length_c 6.2481
_cell_angle_alpha 90.00
_cell_angle_beta 90.00
_cell_angle_gamma 120.00
_space_group_name_H-M_alt 'P 63/m m c'
_space_group_IT_number 194
_space_group_name_Hall '-P 6c 2c'
loop_
_atom_site_label
_atom_site_type_symbol
_atom_site_fract_x
_atom_site_fract_y
_atom_site_fract_z
Y1 Y 0.0000 0.0000 0.0000
Y2 Y 0.3333 0.6667 0.2500
As1 As 0.3333 0.6667 0.7500
```

=====

(2)
The following is a DFT calculation (PBE-GGA) of a relaxed structure of Dy3Co2Ag.

E_form = -0.2196 eV/atom
DOS at the Fermi energy = 2.61 states/eV per cell
crystal system = tetragonal
total DFT energy (no corrections) = -5.36 eV per atom

The structure in CIF format:
```
data_Dy3Co2Ag
_chemical_formula_sum 'Dy3 Co2 Ag1'
_cell_length_a 3.351
_cell_length_b 3.351
_cell_length_c 10.896
_cell_angle_alpha 90.00
_cell_angle_beta 90.00
_cell_angle_gamma 90.00
_space_group_name_H-M_alt 'P 4/m m m'
_space_group_IT_number 123
_space_group_name_Hall '-P 4 2'
loop_
_atom_site_label
_atom_site_type_symbol
_atom_site_fract_x
_atom_site_fract_y
_atom_site_fract_z
Dy1 Dy 0.000 0.000 0.000
Dy2 Dy 0.000 0.000 0.305
Co1 Co 0.500 0.500 0.158
Ag1 Ag 0.500 0.500 0.500
```

=====

(3)
The following is a DFT calculation (PBE-GGA) of a relaxed structure of DyHoTmSc.

E_form = 0.1218 eV/atom
DOS at the Fermi energy = 30.81 states/eV per cell
polymorph energy (0 for the lowest one) = 78.6 meV/atom
crystal system = cubic
total DFT energy (no corrections) = -4.87 eV per atom

The structure in CIF format:
```
data_DyHoTmSc
_chemical_formula_sum 'Dy4 Ho4 Tm4 Sc4'
_cell_length_a 7.780
_cell_length_b 7.780
_cell_length_c 7.780
_cell_angle_alpha 90.00
_cell_angle_beta 90.00
_cell_angle_gamma 90.00
_space_group_name_H-M_alt 'F -4 3 m'
_space_group_IT_number 216
_space_group_name_Hall 'F -4 2 3'
loop_
_atom_site_label
_atom_site_type_symbol
_atom_site_fract_x
_atom_site_fract_y
_atom_site_fract_z
Dy1 Dy 0.000 0.000 0.000
Ho1 Ho 0.000 0.000 0.500
Tm1 Tm 0.250 0.250 0.750
Sc1 Sc 0.250 0.250 0.250
```

=====

(4)
The following is a DFT calculation (PBE-GGA) of a relaxed structure of KTaW2.

E_form = 1.6994 eV/atom
DOS at the Fermi energy = 4.28 states/eV per cell
polymorph energy (0 for the lowest one) = 975.6 meV/atom
crystal system = orthorhombic
total DFT energy (no corrections) = -8.01 eV per atom

The structure in CIF format:
```
data_KTaW2
_chemical_formula_sum 'K1 Ta1 W2'
_cell_length_a 2.719
_cell_length_b 5.272
_cell_length_c 5.372
_cell_angle_alpha 90.00
_cell_angle_beta 90.00
_cell_angle_gamma 90.00
_space_group_name_H-M_alt 'P m m m'
_space_group_IT_number 47
_space_group_name_Hall '-P 2 2'
loop_
_atom_site_label
_atom_site_type_symbol
_atom_site_fract_x
_atom_site_fract_y
_atom_site_fract_z
K1 K 0.000 0.000 0.000
Ta1 Ta 0.500 0.500 0.000
W1 W 0.000 0.500 0.500
W2 W 0.500 0.000 0.500
```

=====

(5)
The following is a DFT calculation (PBE-GGA) of a relaxed structure of CaCrCu4.

E_form = 0.0933 eV/atom
DOS at the Fermi energy = 14.38 states/eV per cell
crystal system = cubic
total DFT energy (no corrections) = -4.57 eV per atom

The structure in CIF format:
```
data_CaCrCu4
_chemical_formula_sum 'Ca4 Cr4 Cu16'
_cell_length_a 7.196
_cell_length_b 7.196
_cell_length_c 7.196
_cell_angle_alpha 90.00
_cell_angle_beta 90.00
_cell_angle_gamma 90.00
_space_group_name_H-M_alt 'F -4 3 m'
_space_group_IT_number 216
_space_group_name_Hall 'F -4 2 3'
loop_
_atom_site_label
_atom_site_type_symbol
_atom_site_fract_x
_atom_site_fract_y
_atom_site_fract_z
Ca1 Ca 0.000 0.000 0.000
Cr1 Cr 0.250 0.250 0.750
Cu1 Cu 0.124 0.124 0.376
```

=====

(6)
The following is a DFT calculation (PBE-GGA) of a relaxed structure of Ba2YCu2Se4.

DOS at the Fermi energy = 8.31 states/eV per cell
formation energy without anion corrections = -1.291 eV per atom
crystal system = monoclinic
total DFT energy (no corrections) = -4.90 eV per atom

The structure in CIF format:
```
data_Ba2YCu2Se4
_chemical_formula_sum 'Ba4 Y2 Cu4 Se8'
_cell_length_a 15.430
_cell_length_b 4.150
_cell_length_c 7.641
_cell_angle_alpha 90.00
_cell_angle_beta 110.42
_cell_angle_gamma 90.00
_space_group_name_H-M_alt 'C 1 2/m 1'
_space_group_IT_number 12
_space_group_name_Hall '-C 2y'
loop_
_atom_site_label
_atom_site_type_symbol
_atom_site_fract_x
_atom_site_fract_y
_atom_site_fract_z
Ba1 Ba 0.135 0.000 0.071
Y1 Y 0.000 0.000 0.500
Cu1 Cu 0.183 0.500 0.489
Se1 Se 0.021 0.500 0.253
Se2 Se 0.200 0.000 0.687
```

=====

(7)
The following is a DFT calculation (PBE-GGA) of a relaxed structure of Ga2CuOs.

E_form = -0.0158 eV/atom
DOS at the Fermi energy = 1.70 states/eV per cell
crystal system = tetragonal
total DFT energy (no corrections) = -5.36 eV per atom

The structure in CIF format:
```
data_Ga2CuOs
_chemical_formula_sum 'Ga2 Cu1 Os1'
_cell_length_a 3.175
_cell_length_b 3.175
_cell_length_c 5.563
_cell_angle_alpha 90.00
_cell_angle_beta 90.00
_cell_angle_gamma 90.00
_space_group_name_H-M_alt 'P 4/m m m'
_space_group_IT_number 123
_space_group_name_Hall '-P 4 2'
loop_
_atom_site_label
_atom_site_type_symbol
_atom_site_fract_x
_atom_site_fract_y
_atom_site_fract_z
Ga1 Ga 0.000 0.000 0.250
Cu1 Cu 0.500 0.500 0.000
Os1 Os 0.500 0.500 0.500
```

=====

(8)
The following is a DFT calculation (PBE-GGA) of a relaxed structure of BaCrRh.

E_form = 0.3828 eV/atom
DOS at the Fermi energy = 9.60 states/eV per cell
polymorph energy (0 for the lowest one) = 107.2 meV/atom
crystal system = tetragonal
total DFT energy (no corrections) = -5.92 eV per atom

The structure in CIF format:
```
data_BaCrRh
_chemical_formula_sum 'Ba2 Cr2 Rh2'
_cell_length_a 3.512
_cell_length_b 3.512
_cell_length_c 11.713
_cell_angle_alpha 90.00
_cell_angle_beta 90.00
_cell_angle_gamma 90.00
_space_group_name_H-M_alt 'I 4 m m'
_space_group_IT_number 107
_space_group_name_Hall 'I 4 -2'
loop_
_atom_site_label
_atom_site_type_symbol
_atom_site_fract_x
_atom_site_fract_y
_atom_site_fract_z
Ba1 Ba 0.000 0.000 0.000
Cr1 Cr 0.000 0.000 0.275
Rh1 Rh 0.000 0.000 0.717
```

=====

(9)
The following is a DFT calculation (PBE-GGA) of a relaxed structure of Cs2TlAs2O6.

DOS at the Fermi energy = 5.68 states/eV per cell
formation energy without anion corrections = -1.292 eV per atom
crystal system = monoclinic
total DFT energy (no corrections) = -5.21 eV per atom

The structure in CIF format:
```
data_Cs2TlAs2O6
_chemical_formula_sum 'Cs4 Tl2 As4 O12'
_cell_length_a 11.631
_cell_length_b 6.414
_cell_length_c 7.525
_cell_angle_alpha 90.00
_cell_angle_beta 120.44
_cell_angle_gamma 90.00
_space_group_name_H-M_alt 'C 1 2/m 1'
_space_group_IT_number 12
_space_group_name_Hall '-C 2y'
loop_
_atom_site_label
_atom_site_type_symbol
_atom_site_fract_x
_atom_site_fract_y
_atom_site_fract_z
Cs1 Cs 0.214 0.000 0.192
Tl1 Tl 0.000 0.000 0.500
As1 As 0.044 0.500 0.199
O1 O 0.026 0.274 0.777
O2 O 0.214 0.500 0.321
```

=====

(10)
The following is a DFT calculation (PBE-GGA) of a relaxed structure of Sr3Bi2.

E_form = -0.8228 eV/atom
polymorph energy (0 for the lowest one) = 54.8 meV/atom
crystal system = trigonal
total DFT energy (no corrections) = -3.38 eV per atom

The structure in CIF format:
```
data_Sr3Bi2
_chemical_formula_sum 'Sr18 Bi12'
_cell_length_a 8.6451
_cell_length_b 8.6451
_cell_length_c 21.6910
_cell_angle_alpha 90.00
_cell_angle_beta 90.00
_cell_angle_gamma 120.00
_space_group_name_H-M_alt 'R -3 c'
_space_group_IT_number 167
_space_group_name_Hall '-R 3 2"c'
loop_
_atom_site_label
_atom_site_type_symbol
_atom_site_fract_x
_atom_site_fract_y
_atom_site_fract_z
Sr1 Sr 0.0000 0.2869 0.2500
Bi1 Bi 0.0000 0.0000 0.1403
```

=====

(11)
The following is a DFT calculation (PBE-GGA) of a relaxed structure of KZn2Re.

E_form = 0.4877 eV/atom
DOS at the Fermi energy = 2.74 states/eV per cell
polymorph energy (0 for the lowest one) = 0.0 meV/atom
crystal system = monoclinic
total DFT energy (no corrections) = -3.54 eV per atom

The structure in CIF format:
```
data_KZn2Re
_chemical_formula_sum 'K1 Zn2 Re1'
_cell_length_a 2.715
_cell_length_b 4.022
_cell_length_c 7.409
_cell_angle_alpha 90.00
_cell_angle_beta 90.09
_cell_angle_gamma 90.00
_space_group_name_H-M_alt 'P 1 2/m 1'
_space_group_IT_number 10
_space_group_name_Hall '-P 2y'
loop_
_atom_site_label
_atom_site_type_symbol
_atom_site_fract_x
_atom_site_fract_y
_atom_site_fract_z
K1 K 0.000 0.000 0.000
Zn1 Zn 0.500 0.500 0.331
Re1 Re 0.000 0.000 0.500
```

=====

(12)
The following is a DFT calculation (PBE-GGA) of a relaxed structure of CrTc2Pt.

E_form = -0.0771 eV/atom
DOS at the Fermi energy = 7.24 states/eV per cell
polymorph energy (0 for the lowest one) = 20.4 meV/atom
crystal system = tetragonal
total DFT energy (no corrections) = -9.18 eV per atom

The structure in CIF format:
```
data_CrTc2Pt
_chemical_formula_sum 'Cr2 Tc4 Pt2'
_cell_length_a 3.856
_cell_length_b 3.856
_cell_length_c 7.590
_cell_angle_alpha 90.00
_cell_angle_beta 90.00
_cell_angle_gamma 90.00
_space_group_name_H-M_alt 'I -4 m 2'
_space_group_IT_number 119
_space_group_name_Hall 'I -4 -2'
loop_
_atom_site_label
_atom_site_type_symbol
_atom_site_fract_x
_atom_site_fract_y
_atom_site_fract_z
Cr1 Cr 0.000 0.000 0.000
Tc1 Tc 0.000 0.000 0.500
Tc2 Tc 0.000 0.500 0.750
Pt1 Pt 0.000 0.500 0.250
```